Tl4NiMo PBE relaxed; total moment = 4.73 Bohr magnetons per cell; D(E_F) = 0.91 states/eV/atom; theoretical density = 9.89 g/cm³; calculated formation energy = 1190 meV per atom; space-group type = No. 216
1.0
-1.228 -5.037 -3.279
0.831 -5.551 2.477
-4.847 -3.480 1.423
Tl Ni Mo
4 1 1
direct
0.876 0.375 0.375
0.375 0.375 0.876
0.375 0.876 0.375
0.375 0.375 0.375
0.000 0.000 0.000
0.750 0.750 0.750

---

Tl3NiMo PBE relaxed; total moment = 4.36 Bohr magnetons per cell; D(E_F) = 0.66 states/eV/atom; offset from the most stable computed form = 0 meV/atom; theoretical density = 9.83 g/cm³; calculated formation energy = 936 meV per atom; space-group type = No. 221
1.0
-1.988 4.327 -1.717
-2.573 -2.577 -3.517
-3.880 -0.509 3.211
Ni Tl Mo
1 3 1
direct
0.000 0.000 0.000
0.000 0.500 0.000
0.000 0.000 0.500
0.500 0.000 0.000
0.500 0.500 0.500

---

TlNiMo2 PBE relaxed; total moment = 0.00 Bohr magnetons per cell; D(E_F) = 0.87 states/eV/atom; offset from the most stable computed form = 139 meV/atom; theoretical density = 11.39 g/cm³; calculated formation energy = 506 meV per atom; space-group type = No. 25
1.0
2.773 0.000 0.000
0.000 4.022 0.000
0.000 0.000 5.949
Mo Ni Tl
2 1 1
direct
0.000 0.000 0.031
0.500 0.500 0.258
0.000 0.000 0.475
0.500 0.500 0.737